*A*
## NbRe3Ir (PBE)

Data for crystalline NbRe3Ir at its relaxed geometry.

Values from the calculation:
DOS at the Fermi energy ... 6.86 states/eV/f.u.

a b c (Å): 4.6475 4.6475 4.6475
angles (deg): 90.00 90.00 90.00
Last column: nearest neighbours and their distance in Å.
Space group Pm-3m (No. 221)
Asymmetric unit:
1 Nb 0.0000 0.0000 0.0000 [1 per cell]  6 Re 2.32
2 Re 0.0000 0.0000 0.5000 [3 per cell]  2 Nb 2.32
3 Ir 0.5000 0.5000 0.5000 [1 per cell]  12 Re 3.29


*B*
## NbRe3Ir (PBE)

Data for crystalline NbRe3Ir at its relaxed geometry.

Values from the calculation:
DOS at the Fermi energy ... 6.21 states/eV/f.u.

a b c (Å): 4.6697 4.6697 4.6697
angles (deg): 90.00 90.00 90.00
Last column: nearest neighbours and their distance in Å.
Space group Pm-3m (No. 221)
Asymmetric unit:
1 Nb 0.0000 0.0000 0.0000 [1 per cell]  12 Re 3.30
2 Re 0.0000 0.5000 0.5000 [3 per cell]  2 Ir 2.33
3 Ir 0.5000 0.5000 0.5000 [1 per cell]  6 Re 2.33


Result of the stability comparison: *A* is the least stable of them.